[1]
DFT (PBE-GGA) results for a relaxed structure of Pa2HgPb.

Cell: 4.411 4.411 7.538 Å, 72.99 72.99 60.00°
Sites, in units of the cell vectors:
Pb 0.500 0.500 0.500
Hg 0.000 0.000 0.000
Pa 0.257 0.257 0.230
Pa 0.743 0.743 0.770

Computed properties:
Crystal system ... trigonal


[2]
DFT (PBE-GGA) results for a relaxed structure of Dy2InSn3.

Cell: 6.018 7.920 7.920 Å, 110.85 90.00 90.00°
Sites, in units of the cell vectors:
Sn 0.500 0.203 0.797
Sn 0.000 0.797 0.203
Sn 0.000 0.203 0.797
Sn 0.500 0.797 0.203
Sn 0.250 0.416 0.416
Sn 0.750 0.584 0.584
Dy 0.250 0.846 0.565
Dy 0.250 0.565 0.846
Dy 0.750 0.154 0.435
Dy 0.750 0.435 0.154
In 0.250 0.091 0.091
In 0.750 0.909 0.909

Computed properties:
Crystal system ... orthorhombic


| no. | size of the total moment (μB per cell) | electronic total energy (eV per atom) |
| --- | --- | --- |
| 1 | 0.00 | -5.302 |
| 2 | 0.00 | -4.227 |